# BaNpFeP2 PBE relaxed
# - Formation enthalpy at 0 K: -0.511 eV per atom
# - SG: I-4m2 (119)
# - Fermi-level density of states: 6.8 states/eV/cell
# - Total magnetic moment: 1.00 μB per formula unit
data_BaNpFeP2
_chemical_formula_sum 'Ba1 Np1 Fe1 P2'
_space_group_name_H-M_alt 'P 1'
_space_group_IT_number 1
_cell_length_a 4.1348
_cell_length_b 4.1348
_cell_length_c 7.5796
_cell_angle_alpha 105.83
_cell_angle_beta 105.83
_cell_angle_gamma 90.00
loop_
_space_group_symop_operation_xyz
'x,y,z'
loop_
_atom_site_label
_atom_site_fract_x
_atom_site_fract_y
_atom_site_fract_z
P1 0.3687 0.3687 0.7374
P2 0.6313 0.6313 0.2626
Np1 0.7500 0.2500 0.5000
Ba1 0.0000 0.0000 0.0000
Fe1 0.2500 0.7500 0.5000